Material: Si3Ru2
Method: DFT, PBE
State: relaxed

Total magnetic moment (μB per cell): 0.00
Energy (eV per formula unit): -37.99

Lattice parameters (Å, degrees): 5.569 9.004 11.134 90.00 90.00 90.00
Atoms (fractional coordinates):
Si 0.912 0.937 0.180
Si 0.556 0.793 0.073
Si 0.412 0.563 0.320
Si 0.605 0.394 0.131
Si 0.088 0.563 0.680
Si 0.105 0.606 0.131
Si 0.944 0.293 0.573
Si 0.395 0.606 0.869
Si 0.895 0.394 0.869
Si 0.056 0.207 0.073
Si 0.588 0.937 0.820
Si 0.605 0.894 0.369
Si 0.444 0.207 0.927
Si 0.895 0.894 0.631
Si 0.912 0.437 0.320
Si 0.088 0.063 0.820
Si 0.444 0.707 0.573
Si 0.395 0.106 0.631
Si 0.944 0.793 0.927
Si 0.105 0.106 0.369
Si 0.412 0.063 0.180
Si 0.056 0.707 0.427
Si 0.556 0.293 0.427
Si 0.588 0.437 0.680
Ru 0.763 0.187 0.246
Ru 0.237 0.813 0.754
Ru 0.750 0.041 0.000
Ru 0.737 0.187 0.754
Ru 0.250 0.425 0.000
Ru 0.237 0.313 0.746
Ru 0.263 0.813 0.246
Ru 0.737 0.687 0.746
Ru 0.750 0.541 0.500
Ru 0.750 0.075 0.500
Ru 0.250 0.959 0.000
Ru 0.263 0.313 0.254
Ru 0.750 0.575 0.000
Ru 0.763 0.687 0.254
Ru 0.250 0.459 0.500
Ru 0.250 0.925 0.500

Material: Ca2ReTc
Method: DFT, PBE
State: relaxed

N(E_F) (states/eV/cell): 3.56
Total magnetic moment (μB per cell): 0.00
Polymorph energy (0 for the lowest one) (eV/atom): 0.526

Lattice parameters (Å, degrees): 5.772 5.730 2.805 84.69 72.40 115.45
Atoms (fractional coordinates):
Re 0.000 0.500 0.500
Ca 0.500 0.000 0.500
Ca 0.000 0.000 0.000
Tc 0.500 0.500 0.000

Material: BaZrSbTe2
Method: DFT, PBE
State: relaxed

N(E_F) (states/eV/cell): 6.19
Total magnetic moment (μB per cell): 1.38
Polymorph energy (0 for the lowest one) (eV/atom): 1.748

Lattice parameters (Å, degrees): 6.159 6.159 5.976 90.00 90.00 90.00
Atoms (fractional coordinates):
Sb 0.000 0.000 0.500
Te 0.500 0.000 0.000
Te 0.000 0.500 0.000
Zr 0.500 0.500 0.500
Ba 0.000 0.000 0.000

Material: Li5Pa3Se8
Method: DFT, PBE
State: relaxed

N(E_F) (states/eV/cell): 17.80
Total magnetic moment (μB per cell): 4.02
Energy (eV per formula unit): -86.77

Lattice parameters (Å, degrees): 8.061 8.061 8.013 59.80 59.80 60.00
Atoms (fractional coordinates):
Se 0.747 0.250 0.753
Se 0.253 0.750 0.247
Se 0.750 0.253 0.247
Se 0.250 0.747 0.753
Se 0.750 0.750 0.247
Se 0.745 0.745 0.765
Se 0.250 0.250 0.753
Se 0.255 0.255 0.235
Li 0.000 0.500 0.000
Li 0.500 0.500 0.000
Li 0.000 0.000 0.000
Li 0.500 0.000 0.000
Li 0.500 0.500 0.500
Pa 0.500 0.000 0.500
Pa 0.000 0.000 0.500
Pa 0.000 0.500 0.500

Material: BaSi2Os
Method: DFT, PBE
State: relaxed

N(E_F) (states/eV/cell): 2.54
Total magnetic moment (μB per cell): 0.00
Energy (eV per formula unit): -19.91

Lattice parameters (Å, degrees): 5.225 5.225 3.284 90.00 90.00 113.94
Atoms (fractional coordinates):
Si 0.500 0.500 0.000
Si 0.000 0.000 0.000
Os 0.000 0.500 0.500
Ba 0.500 0.000 0.500

Material: K2CrAs
Method: DFT, PBE
State: relaxed

N(E_F) (states/eV/cell): 1.79
Total magnetic moment (μB per cell): 4.09
Energy (eV per formula unit): -15.97

Lattice parameters (Å, degrees): 5.152 8.396 8.669 32.50 90.00 90.00
Atoms (fractional coordinates):
K 0.000 0.132 0.123
K 0.000 0.368 0.377
As 0.500 0.250 0.250
Cr 0.500 0.750 0.750

Material: TlCr2S
Method: DFT, PBE
State: relaxed

N(E_F) (states/eV/cell): 8.20
Total magnetic moment (μB per cell): 14.67
Polymorph energy (0 for the lowest one) (eV/atom): 0.000

Lattice parameters (Å, degrees): 6.997 6.997 5.916 53.75 53.75 90.00
Atoms (fractional coordinates):
Cr 0.188 0.625 0.250
Cr 0.562 0.125 0.250
Cr 0.375 0.438 0.750
Cr 0.875 0.812 0.750
S 0.500 0.500 0.000
S 0.250 0.750 0.500
Tl 0.750 0.250 0.500
Tl 0.000 0.000 0.000

Material: Sc4Tl3Co
Method: DFT, PBE
State: relaxed

N(E_F) (states/eV/cell): 5.69
Total magnetic moment (μB per cell): 1.51
Energy (eV per formula unit): -41.76

Lattice parameters (Å, degrees): 3.341 3.341 15.302 90.00 90.00 90.00
Atoms (fractional coordinates):
Tl 0.500 0.500 0.500
Tl 0.500 0.500 0.232
Tl 0.500 0.500 0.768
Sc 0.000 0.000 0.365
Sc 0.000 0.000 0.096
Sc 0.000 0.000 0.904
Sc 0.000 0.000 0.635
Co 0.500 0.500 0.000

> What is the total magnetic moment in the third record?

1.38 μB per cell